Record 1
# Ca2NdThS4

Crystalline Ca2NdThS4 at its relaxed geometry (GGA-PBE, the Alexandria database).

Output
Uncorrected formation energy, eV per formula unit: -15.8
Density of states at the Fermi level, states/eV/f.u.: 3.7

a = 6.911 Å, b = 3.980 Å, c = 7.149 Å
α = 90.00°, β = 108.66°, γ = 90.00°
Space group P2/m (No. 10)
One atom of each set of equivalent atoms:
Ca 0.000 0.000 0.000 [1 per cell]
Ca 0.500 0.500 0.000 [1 per cell]
Nd 0.000 0.500 0.500 [1 per cell]
Th 0.500 0.000 0.500 [1 per cell]
S 0.249 0.500 0.241 [2 per cell]
S 0.255 0.000 0.757 [2 per cell]

=====

Record 2
# CaNd4Tm3S8

Crystalline CaNd4Tm3S8 at its relaxed geometry (GGA-PBE, the Alexandria database).

Output
Uncorrected formation energy, eV per formula unit: -32.0
Density of states at the Fermi level, states/eV/f.u.: 7.8

a = 7.8726 Å, b = 7.8726 Å, c = 19.8963 Å
α = 90.00°, β = 90.00°, γ = 120.00°
Space group R-3m (No. 166, hexagonal axes)
One atom of each set of equivalent atoms:
Ca 0.0000 0.0000 0.0000 [3 per cell]
Nd 0.0000 0.0000 0.5000 [3 per cell]
Nd 0.0000 0.5000 0.5000 [9 per cell]
Tm 0.0000 0.5000 0.0000 [9 per cell]
S 0.0000 0.0000 0.2574 [6 per cell]
S 0.0044 0.5022 0.2565 [18 per cell]

=====

Record 3
# CaNdTm4S8

Crystalline CaNdTm4S8 at its relaxed geometry (GGA-PBE, the Alexandria database).

Output
Uncorrected formation energy, eV per formula unit: -27.7
Density of states at the Fermi level, states/eV/f.u.: 3.3

a = 8.0153 Å, b = 8.0153 Å, c = 19.9601 Å
α = 90.00°, β = 90.00°, γ = 120.00°
Space group R3m (No. 160, hexagonal axes)
One atom of each set of equivalent atoms:
Ca 0.0000 0.0000 0.0000 [3 per cell]
Nd 0.0000 0.0000 0.6280 [3 per cell]
Tm 0.0000 0.0000 0.2519 [3 per cell]
Tm 0.1692 0.3384 0.4590 [9 per cell]
S 0.0000 0.0000 0.3844 [3 per cell]
S 0.0000 0.0000 0.8647 [3 per cell]
S 0.0222 0.5111 0.3843 [9 per cell]
S 0.1729 0.3459 0.2033 [9 per cell]